This record from Alexandria describes an optimized crystal structure of Ce2CuNi3. The functional is PBE. Values from VASP.

```
&SYSTEM
  ibrav = 0, nat = 12, ntyp = 3
/
ATOMIC_SPECIES
Ce 140.12 Ce.upf
Cu 63.55 Cu.upf
Ni 58.69 Ni.upf
CELL_PARAMETERS angstrom
5.129 0.000 0.000
-2.564 4.442 0.000
0.000 0.000 8.328
ATOMIC_POSITIONS crystal
Ce 0.333 0.667 0.060
Ce 0.333 0.667 0.440
Ce 0.667 0.333 0.560
Ce 0.667 0.333 0.940
Cu 0.000 0.000 0.000
Cu 0.000 0.000 0.500
Ni 0.165 0.329 0.750
Ni 0.165 0.835 0.750
Ni 0.329 0.165 0.250
Ni 0.671 0.835 0.750
Ni 0.835 0.165 0.250
Ni 0.835 0.671 0.250
```

Output
The calculation puts the density of states at the Fermi level at 18.66 states/eV/cell. The size of the total moment is 0.00 μB/cell. As for the space group: P6_3/mmc.

This record from Alexandria describes an optimized crystal structure of CeCu11Ni. The functional is PBE. Values from VASP.

```
&SYSTEM
  ibrav = 0, nat = 13, ntyp = 3
/
ATOMIC_SPECIES
Ce 140.12 Ce.upf
Cu 63.55 Cu.upf
Ni 58.69 Ni.upf
CELL_PARAMETERS angstrom
2.434 -6.053 0.000
2.434 6.053 0.000
-2.286 0.000 5.920
ATOMIC_POSITIONS crystal
Ce 0.000 0.000 0.000
Cu 0.000 0.500 0.000
Cu 0.010 0.658 0.642
Cu 0.277 0.501 0.775
Cu 0.342 0.990 0.358
Cu 0.499 0.723 0.225
Cu 0.500 0.000 0.000
Cu 0.500 0.500 0.500
Cu 0.501 0.277 0.775
Cu 0.658 0.010 0.642
Cu 0.723 0.499 0.225
Cu 0.990 0.342 0.358
Ni 0.000 0.000 0.500
```

Output
The calculation puts the density of states at the Fermi level at 9.01 states/eV/cell. The size of the total moment is 0.48 μB/cell. As for the space group: C2/m.

This record from Alexandria describes an optimized crystal structure of Ce3CuNi8. The functional is PBE. Values from VASP.

```
&SYSTEM
  ibrav = 0, nat = 12, ntyp = 3
/
ATOMIC_SPECIES
Ce 140.12 Ce.upf
Cu 63.55 Cu.upf
Ni 58.69 Ni.upf
CELL_PARAMETERS angstrom
2.484 1.434 8.221
-2.484 1.434 8.221
0.000 -2.868 8.221
ATOMIC_POSITIONS crystal
Ce 0.000 0.000 0.000
Ce 0.129 0.129 0.129
Ce 0.612 0.612 0.612
Cu 0.491 0.491 0.491
Ni 0.057 0.057 0.561
Ni 0.057 0.561 0.057
Ni 0.064 0.560 0.560
Ni 0.310 0.310 0.310
Ni 0.560 0.064 0.560
Ni 0.560 0.560 0.064
Ni 0.561 0.057 0.057
Ni 0.810 0.810 0.810
```

Output
The calculation puts the density of states at the Fermi level at 13.59 states/eV/cell. The size of the total moment is 0.26 μB/cell. As for the space group: R3m.

This record from Alexandria describes an optimized crystal structure of Ce2Cu6Ni. The functional is PBE. Values from VASP.

```
&SYSTEM
  ibrav = 0, nat = 9, ntyp = 3
/
ATOMIC_SPECIES
Ce 140.12 Ce.upf
Cu 63.55 Cu.upf
Ni 58.69 Ni.upf
CELL_PARAMETERS angstrom
4.184 -2.962 0.000
4.184 2.962 0.000
-0.998 0.000 5.775
ATOMIC_POSITIONS crystal
Ce 0.185 0.185 0.362
Ce 0.815 0.815 0.638
Cu 0.105 0.684 0.148
Cu 0.316 0.895 0.852
Cu 0.371 0.371 0.844
Cu 0.629 0.629 0.156
Cu 0.684 0.105 0.148
Cu 0.895 0.316 0.852
Ni 0.500 0.500 0.500
```

Output
The calculation puts the density of states at the Fermi level at 11.06 states/eV/cell. The size of the total moment is 1.06 μB/cell. As for the space group: C2/m.

This record from Alexandria describes an optimized crystal structure of Ce2CuNi12P3. The functional is PBE. Values from VASP.

```
&SYSTEM
  ibrav = 0, nat = 18, ntyp = 4
/
ATOMIC_SPECIES
Ce 140.12 Ce.upf
Cu 63.55 Cu.upf
Ni 58.69 Ni.upf
P 30.97 P.upf
CELL_PARAMETERS angstrom
4.187 2.417 3.970
-4.187 2.417 3.970
0.000 -4.835 3.970
ATOMIC_POSITIONS crystal
Ce 0.161 0.161 0.161
Ce 0.839 0.839 0.839
Cu 0.500 0.500 0.500
Ni 0.122 0.122 0.605
Ni 0.122 0.605 0.122
Ni 0.185 0.683 0.683
Ni 0.317 0.317 0.815
Ni 0.317 0.815 0.317
Ni 0.395 0.878 0.878
Ni 0.605 0.122 0.122
Ni 0.683 0.185 0.683
Ni 0.683 0.683 0.185
Ni 0.815 0.317 0.317
Ni 0.878 0.395 0.878
Ni 0.878 0.878 0.395
P 0.000 0.500 0.500
P 0.500 0.000 0.500
P 0.500 0.500 0.000
```

Output
The calculation puts the density of states at the Fermi level at 13.90 states/eV/cell. The size of the total moment is 0.00 μB/cell. As for the space group: R-3m.

This record from Alexandria describes an optimized crystal structure of Ce2CuNi3P4. The functional is PBE. Values from VASP.

```
&SYSTEM
  ibrav = 0, nat = 10, ntyp = 4
/
ATOMIC_SPECIES
Ce 140.12 Ce.upf
Cu 63.55 Cu.upf
Ni 58.69 Ni.upf
P 30.97 P.upf
CELL_PARAMETERS angstrom
4.081 0.000 0.000
0.000 4.081 0.000
0.000 0.000 9.068
ATOMIC_POSITIONS crystal
Ce 0.000 0.500 0.245
Ce 0.500 0.000 0.755
Cu 0.000 0.000 0.500
Ni 0.000 0.500 0.889
Ni 0.500 0.000 0.111
Ni 0.500 0.500 0.500
P 0.000 0.000 0.000
P 0.000 0.500 0.636
P 0.500 0.000 0.364
P 0.500 0.500 0.000
```

Output
The calculation puts the density of states at the Fermi level at 9.05 states/eV/cell. The size of the total moment is 0.67 μB/cell. As for the space group: P-4m2.

This record from Alexandria describes an optimized crystal structure of Ce2CuNi4P3. The functional is PBE. Values from VASP.

```
&SYSTEM
  ibrav = 0, nat = 10, ntyp = 4
/
ATOMIC_SPECIES
Ce 140.12 Ce.upf
Cu 63.55 Cu.upf
Ni 58.69 Ni.upf
P 30.97 P.upf
CELL_PARAMETERS angstrom
3.974 0.000 0.000
0.000 3.974 0.000
0.000 0.000 9.349
ATOMIC_POSITIONS crystal
Ce 0.000 0.500 0.248
Ce 0.500 0.000 0.752
Cu 0.000 0.000 0.500
Ni 0.000 0.000 0.000
Ni 0.000 0.500 0.631
Ni 0.500 0.000 0.369
Ni 0.500 0.500 0.000
P 0.000 0.500 0.871
P 0.500 0.000 0.129
P 0.500 0.500 0.500
```

Output
The calculation puts the density of states at the Fermi level at 7.09 states/eV/cell. The size of the total moment is 0.00 μB/cell. As for the space group: P-4m2.

This record from Alexandria describes an optimized crystal structure of CePmCuNi. The functional is PBE. Values from VASP.

```
&SYSTEM
  ibrav = 0, nat = 16, ntyp = 4
/
ATOMIC_SPECIES
Ce 140.12 Ce.upf
Pm 145.00 Pm.upf
Cu 63.55 Cu.upf
Ni 58.69 Ni.upf
CELL_PARAMETERS angstrom
6.992 0.000 0.000
0.000 6.992 0.000
0.000 0.000 6.992
ATOMIC_POSITIONS crystal
Ce 0.000 0.000 0.000
Ce 0.000 0.500 0.500
Ce 0.500 0.000 0.500
Ce 0.500 0.500 0.000
Pm 0.000 0.000 0.500
Pm 0.000 0.500 0.000
Pm 0.500 0.000 0.000
Pm 0.500 0.500 0.500
Cu 0.250 0.250 0.750
Cu 0.250 0.750 0.250
Cu 0.750 0.250 0.250
Cu 0.750 0.750 0.750
Ni 0.250 0.250 0.250
Ni 0.250 0.750 0.750
Ni 0.750 0.250 0.750
Ni 0.750 0.750 0.250
```

Output
The calculation puts the density of states at the Fermi level at 27.62 states/eV/cell. The size of the total moment is 2.12 μB/cell. As for the space group: F-43m.

This record from Alexandria describes an optimized crystal structure of CePrCuNi. The functional is PBE. Values from VASP.

```
&SYSTEM
  ibrav = 0, nat = 16, ntyp = 4
/
ATOMIC_SPECIES
Ce 140.12 Ce.upf
Pr 140.91 Pr.upf
Cu 63.55 Cu.upf
Ni 58.69 Ni.upf
CELL_PARAMETERS angstrom
7.046 0.000 0.000
0.000 7.046 0.000
0.000 0.000 7.046
ATOMIC_POSITIONS crystal
Ce 0.000 0.000 0.000
Ce 0.000 0.500 0.500
Ce 0.500 0.000 0.500
Ce 0.500 0.500 0.000
Pr 0.000 0.000 0.500
Pr 0.000 0.500 0.000
Pr 0.500 0.000 0.000
Pr 0.500 0.500 0.500
Cu 0.250 0.250 0.250
Cu 0.250 0.750 0.750
Cu 0.750 0.250 0.750
Cu 0.750 0.750 0.250
Ni 0.250 0.250 0.750
Ni 0.250 0.750 0.250
Ni 0.750 0.250 0.250
Ni 0.750 0.750 0.750
```

Output
The calculation puts the density of states at the Fermi level at 30.22 states/eV/cell. The size of the total moment is 2.50 μB/cell. As for the space group: F-43m.

This record from Alexandria describes an optimized crystal structure of Ce2CuNi5Pt2. The functional is PBE. Values from VASP.

```
&SYSTEM
  ibrav = 0, nat = 20, ntyp = 4
/
ATOMIC_SPECIES
Ce 140.12 Ce.upf
Cu 63.55 Cu.upf
Ni 58.69 Ni.upf
Pt 195.08 Pt.upf
CELL_PARAMETERS angstrom
9.144 0.000 0.000
0.000 9.144 0.000
0.000 0.000 3.847
ATOMIC_POSITIONS crystal
Ce 0.176 0.324 0.000
Ce 0.324 0.824 0.000
Ce 0.676 0.176 0.000
Ce 0.824 0.676 0.000
Cu 0.000 0.000 0.000
Cu 0.500 0.500 0.000
Ni 0.000 0.500 0.500
Ni 0.049 0.808 0.500
Ni 0.192 0.049 0.500
Ni 0.308 0.549 0.500
Ni 0.451 0.308 0.500
Ni 0.500 0.000 0.500
Ni 0.549 0.692 0.500
Ni 0.692 0.451 0.500
Ni 0.808 0.951 0.500
Ni 0.951 0.192 0.500
Pt 0.126 0.626 0.000
Pt 0.374 0.126 0.000
Pt 0.626 0.874 0.000
Pt 0.874 0.374 0.000
```

Output
The calculation puts the density of states at the Fermi level at 15.01 states/eV/cell. The size of the total moment is 0.00 μB/cell. As for the space group: P4/mbm.

This record from Alexandria describes an optimized crystal structure of CePuCuNi. The functional is PBE. Values from VASP.

```
&SYSTEM
  ibrav = 0, nat = 16, ntyp = 4
/
ATOMIC_SPECIES
Ce 140.12 Ce.upf
Pu 244.00 Pu.upf
Cu 63.55 Cu.upf
Ni 58.69 Ni.upf
CELL_PARAMETERS angstrom
6.534 0.000 0.000
0.000 6.534 0.000
0.000 0.000 6.534
ATOMIC_POSITIONS crystal
Ce 0.000 0.000 0.000
Ce 0.000 0.500 0.500
Ce 0.500 0.000 0.500
Ce 0.500 0.500 0.000
Pu 0.250 0.250 0.750
Pu 0.250 0.750 0.250
Pu 0.750 0.250 0.250
Pu 0.750 0.750 0.750
Cu 0.000 0.000 0.500
Cu 0.000 0.500 0.000
Cu 0.500 0.000 0.000
Cu 0.500 0.500 0.500
Ni 0.250 0.250 0.250
Ni 0.250 0.750 0.750
Ni 0.750 0.250 0.750
Ni 0.750 0.750 0.250
```

Output
The calculation puts the density of states at the Fermi level at 19.21 states/eV/cell. The size of the total moment is 20.78 μB/cell. As for the space group: F-43m.

This record from Alexandria describes an optimized crystal structure of Ce2CuNi5Rh2. The functional is PBE. Values from VASP.

```
&SYSTEM
  ibrav = 0, nat = 20, ntyp = 4
/
ATOMIC_SPECIES
Ce 140.12 Ce.upf
Cu 63.55 Cu.upf
Ni 58.69 Ni.upf
Rh 102.91 Rh.upf
CELL_PARAMETERS angstrom
8.925 0.000 0.000
0.000 8.925 0.000
0.000 0.000 3.883
ATOMIC_POSITIONS crystal
Ce 0.177 0.323 0.000
Ce 0.323 0.823 0.000
Ce 0.677 0.177 0.000
Ce 0.823 0.677 0.000
Cu 0.000 0.000 0.000
Cu 0.500 0.500 0.000
Ni 0.000 0.500 0.500
Ni 0.049 0.808 0.500
Ni 0.192 0.049 0.500
Ni 0.308 0.549 0.500
Ni 0.451 0.308 0.500
Ni 0.500 0.000 0.500
Ni 0.549 0.692 0.500
Ni 0.692 0.451 0.500
Ni 0.808 0.951 0.500
Ni 0.951 0.192 0.500
Rh 0.130 0.630 0.000
Rh 0.370 0.130 0.000
Rh 0.630 0.870 0.000
Rh 0.870 0.370 0.000
```

Output
The calculation puts the density of states at the Fermi level at 21.57 states/eV/cell. The size of the total moment is 1.29 μB/cell. As for the space group: P4/mbm.

Record order is preserved below.
E_form: -314.6; -59.9; -353.7; -111.8; -160.2; -948.7; -886.2; -149.3; -115.3; -323.6; -199.1; -273.0 meV per atom